No. 1
Entry from OQMD: a geometry-optimized CuAg3 structure (GGA-PBE).

abc: 9.453 9.453 4.982
angles: 94.40 94.40 17.43
Fractional positions:
Ag 0.685 0.685 0.060
Ag 0.183 0.183 0.563
Ag 0.943 0.943 0.804
Ag 0.315 0.315 0.940
Ag 0.057 0.057 0.196
Ag 0.817 0.817 0.437
Cu 0.561 0.561 0.683
Cu 0.439 0.439 0.317

Its symmetry is C2/m, No. 12. The formation energy comes out at 0.07 eV/atom.

***

No. 2
Entry from OQMD: a geometry-optimized BiPIrO structure (GGA-PBE).

abc: 3.953 3.953 8.775
angles: 90.00 90.00 90.00
Fractional positions:
O 0.000 0.000 0.000
O 0.500 0.500 0.000
Ir 0.000 0.000 0.500
Ir 0.500 0.500 0.500
Bi 0.000 0.500 0.146
Bi 0.500 0.000 0.854
P 0.500 0.000 0.351
P 0.000 0.500 0.649

Its symmetry is P4/nmm, No. 129. As for the energy relative to the lowest polymorph listed for this composition: 0 meV per atom.

***

Here are the calculated energy numbers, same order: -2.98 -6.45 (eV per atom).